# 1
## Pm12SnRh6 (PBE-GGA)

Data for a geometry-optimized Pm12SnRh6 structure.

Cell: 8.781 8.781 8.781 Å, 109.47 109.47 109.47°
Fractional coordinates of all 19 atoms:
Pm  0.118  0.304  0.814
Pm  0.186  0.490  0.304
Pm  0.186  0.882  0.696
Pm  0.304  0.186  0.490
Pm  0.304  0.814  0.118
Pm  0.490  0.304  0.186
Pm  0.510  0.696  0.814
Pm  0.696  0.186  0.882
Pm  0.696  0.814  0.510
Pm  0.814  0.118  0.304
Pm  0.814  0.510  0.696
Pm  0.882  0.696  0.186
Sn  0.000  0.000  0.000
Rh  0.131  0.500  0.631
Rh  0.369  0.869  0.500
Rh  0.500  0.369  0.869
Rh  0.500  0.631  0.131
Rh  0.631  0.131  0.500
Rh  0.869  0.500  0.369

Results
Magnetic moment   0.000 μB per cell
Excess energy over the best structure of this formula in the dataset   0.000 eV per formula unit

---

# 2
## PmSn4Rh4 (PBE-GGA)

Data for a geometry-optimized PmSn4Rh4 structure.

Cell: 8.871 8.871 5.161 Å, 90.00 90.00 90.00°
Fractional coordinates of all 18 atoms:
Pm  0.250  0.250  0.250
Pm  0.750  0.750  0.750
Sn  0.105  0.652  0.243
Sn  0.152  0.895  0.743
Sn  0.348  0.605  0.743
Sn  0.395  0.848  0.243
Sn  0.605  0.152  0.757
Sn  0.652  0.395  0.257
Sn  0.848  0.105  0.257
Sn  0.895  0.348  0.757
Rh  0.042  0.601  0.743
Rh  0.101  0.958  0.243
Rh  0.399  0.542  0.243
Rh  0.458  0.899  0.743
Rh  0.542  0.101  0.257
Rh  0.601  0.458  0.757
Rh  0.899  0.042  0.757
Rh  0.958  0.399  0.257

Results
Magnetic moment   0.000 μB per cell
E   -5.949 eV/atom

---

| no. | volume (Å³/cell) |
| --- | --- |
| 1 | 521.2 |
| 2 | 406.2 |